TmCrF5: optimized geometry, PBE with a Hubbard U.

Results
Its total energy is -6.527 eV per atom. For the total moment, the calculation gives 4.00 μB/f.u. As for the crystal system: monoclinic.

Cell: 8.847 7.259 7.252 Å, 90.00 112.20 90.00°
Space group C2/c (No. 15)
Asymmetric unit:
Tm 0.000 0.055 0.250
Cr 0.000 0.500 0.000
F 0.000 0.367 0.250
F 0.011 0.168 0.961
F 0.241 0.460 0.632